1.
Density functional theory data (PBE) for a geometry-optimized HfZn3Cu structure.

The structure belongs to space group P2_1/m (No. 11); the cell edges are 6.6866, 3.3092 and 7.4687 Å and the angles 90.00°, 106.95° and 90.00°. The distinct sites, in fractional coordinates, are Hf at (0.1554, 0.2500, 0.1548), Zn at (0.0854, 0.2500, 0.6540), Zn at (0.3164, 0.7500, 0.4980), Zn at (0.3206, 0.7500, 0.9099) and Cu at (0.4952, 0.2500, 0.7459).

The energy relative to the elements comes out at -0.111 eV per atom. The value obtained for the energy above the most stable polymorph in this dataset is 9.3 meV per atom.

=====

2.
Density functional theory data (PBE) for a geometry-optimized Hf2ZnCu2 structure.

The structure belongs to space group P4/mbm (No. 127); the cell edges are 6.8857, 6.8857 and 3.5361 Å and the angles 90.00°, 90.00° and 90.00°. The distinct sites, in fractional coordinates, are Hf at (0.1695, 0.3305, 0.0000), Zn at (0.0000, 0.0000, 0.5000) and Cu at (0.1278, 0.6278, 0.5000).

The energy relative to the elements comes out at -0.160 eV per atom.

=====

3.
Density functional theory data (PBE) for a geometry-optimized Hf2Zn5Cu5 structure.

The structure belongs to space group Pmmm (No. 47); the cell edges are 4.1634, 4.9356 and 8.5561 Å and the angles 90.00°, 90.00° and 90.00°. The distinct sites, in fractional coordinates, are Hf at (0.0000, 0.0000, 0.0000), Hf at (0.0000, 0.5000, 0.5000), Zn at (0.5000, 0.0000, 0.5000), Zn at (0.5000, 0.2497, 0.2451), Cu at (0.0000, 0.0000, 0.3331), Cu at (0.0000, 0.5000, 0.1646) and Cu at (0.5000, 0.5000, 0.0000).

The energy relative to the elements comes out at -0.130 eV per atom.

=====

4.
Density functional theory data (PBE) for a geometry-optimized Hf2ZnCu6 structure.

The structure belongs to space group P-3m1 (No. 164); the cell edges are 5.2851, 5.2851 and 5.4039 Å and the angles 90.00°, 90.00° and 120.00°. The distinct sites, in fractional coordinates, are Hf at (0.3333, 0.6667, 0.3500), Zn at (0.0000, 0.0000, 0.5000) and Cu at (0.1800, 0.3599, 0.8337).

The energy relative to the elements comes out at -0.068 eV per atom.

=====

5.
Density functional theory data (PBE) for a geometry-optimized HfZn5Cu structure.

The structure belongs to space group Pnma (No. 62); the cell edges are 8.1227, 5.1359 and 10.1745 Å and the angles 90.00°, 90.00° and 90.00°. The distinct sites, in fractional coordinates, are Hf at (0.2395, 0.2500, 0.0657), Zn at (0.0578, 0.0143, 0.3062), Zn at (0.0596, 0.7500, 0.0803), Zn at (0.1066, 0.2500, 0.5215), Zn at (0.1943, 0.2500, 0.7660) and Cu at (0.1495, 0.7500, 0.8481).

The energy relative to the elements comes out at -0.051 eV per atom.

=====

6.
Density functional theory data (PBE) for a geometry-optimized Hf6Zn5Cu structure.

The structure belongs to space group C2/m (No. 12); the cell edges are 8.0776, 13.9623 and 4.6482 Å and the angles 90.00°, 125.06° and 90.00°. The distinct sites, in fractional coordinates, are Hf at (0.2462, 0.0000, 0.2463), Hf at (0.2480, 0.1653, 0.7480), Zn at (0.0000, 0.1676, 0.0000), Zn at (0.0000, 0.3333, 0.5000), Zn at (0.0000, 0.5000, 0.0000) and Cu at (0.0000, 0.0000, 0.5000).

The energy relative to the elements comes out at -0.171 eV per atom.

=====

7.
Density functional theory data (PBE) for a geometry-optimized Hf11Zn9Cu4 structure.

The structure belongs to space group Cmmm (No. 65); the cell edges are 12.9581, 19.5738 and 3.3269 Å and the angles 90.00°, 90.00° and 90.00°. The distinct sites, in fractional coordinates, are Hf at (0.0000, 0.0000, 0.0000), Hf at (0.0000, 0.1645, 0.0000), Hf at (0.0000, 0.3579, 0.0000), Hf at (0.2178, 0.5000, 0.0000), Hf at (0.2391, 0.1719, 0.0000), Zn at (0.0000, 0.5000, 0.5000), Zn at (0.1083, 0.2611, 0.5000), Zn at (0.1366, 0.0747, 0.5000) and Cu at (0.1478, 0.4029, 0.5000).

The energy relative to the elements comes out at -0.155 eV per atom.

=====

8.
Density functional theory data (PBE) for a geometry-optimized Hf3Zn12Cu structure.

The structure belongs to space group P4/mmm (No. 123); the cell edges are 4.0955, 4.0955 and 15.0970 Å and the angles 90.00°, 90.00° and 90.00°. The distinct sites, in fractional coordinates, are Hf at (0.0000, 0.0000, 0.0000), Hf at (0.0000, 0.0000, 0.2625), Zn at (0.0000, 0.5000, 0.1306), Zn at (0.0000, 0.5000, 0.3907), Zn at (0.5000, 0.5000, 0.0000), Zn at (0.5000, 0.5000, 0.2622), Zn at (0.5000, 0.5000, 0.5000) and Cu at (0.0000, 0.0000, 0.5000).

The energy relative to the elements comes out at -0.155 eV per atom.

=====

Calculated volume, respectively: 158.1 167.7 175.8 130.7 424.5 429.1 843.8 253.2 Å³/cell.